No. 1
# Ti3PbAu (PBEsol, optimized geometry)
data_Ti3PbAu
_symmetry_space_group_name_H-M 'P 1'
_symmetry_Int_Tables_number 1
_cell_length_a 5.011
_cell_length_b 5.011
_cell_length_c 5.011
_cell_angle_alpha 90.00
_cell_angle_beta 90.00
_cell_angle_gamma 90.00
loop_
_symmetry_equiv_pos_as_xyz
'x,y,z'
loop_
_atom_site_label
_atom_site_type_symbol
_atom_site_fract_x
_atom_site_fract_y
_atom_site_fract_z
_atom_site_occupancy
Pb1 Pb 0.000 0.000 0.000 1
Au1 Au 0.500 0.500 0.500 1
Ti1 Ti 0.000 0.500 0.000 1
Ti2 Ti 0.000 0.000 0.500 1
Ti3 Ti 0.500 0.000 0.000 1
# Calculated density   7.2 g/cm3
# Calculated volume   126 Å³/cell
# E_tot   -26.26 eV/cell

=====

No. 2
# TiPbWAu2 (PBEsol, optimized geometry)
data_TiPbWAu2
_symmetry_space_group_name_H-M 'P 1'
_symmetry_Int_Tables_number 1
_cell_length_a 4.983
_cell_length_b 4.983
_cell_length_c 5.172
_cell_angle_alpha 90.00
_cell_angle_beta 90.00
_cell_angle_gamma 90.00
loop_
_symmetry_equiv_pos_as_xyz
'x,y,z'
loop_
_atom_site_label
_atom_site_type_symbol
_atom_site_fract_x
_atom_site_fract_y
_atom_site_fract_z
_atom_site_occupancy
Pb1 Pb 0.000 0.000 0.000 1
Au1 Au 0.000 0.500 0.000 1
Au2 Au 0.500 0.000 0.000 1
W1 W 0.000 0.000 0.500 1
Ti1 Ti 0.500 0.500 0.500 1
# Calculated density   10.8 g/cm3
# Calculated volume   128 Å³/cell
# E_tot   -24.28 eV/cell

=====

No. 3
# TlPb2Au (PBEsol, optimized geometry)
data_TlPb2Au
_symmetry_space_group_name_H-M 'P 1'
_symmetry_Int_Tables_number 1
_cell_length_a 3.537
_cell_length_b 3.537
_cell_length_c 9.912
_cell_angle_alpha 79.72
_cell_angle_beta 79.72
_cell_angle_gamma 60.00
loop_
_symmetry_equiv_pos_as_xyz
'x,y,z'
loop_
_atom_site_label
_atom_site_type_symbol
_atom_site_fract_x
_atom_site_fract_y
_atom_site_fract_z
_atom_site_occupancy
Pb1 Pb 0.988 0.988 0.035 1
Pb2 Pb 0.751 0.751 0.748 1
Tl1 Tl 0.511 0.511 0.466 1
Au1 Au 0.249 0.249 0.252 1
# Calculated density   12.9 g/cm3
# Calculated volume   105 Å³/cell
# E_tot   -14.42 eV/cell

=====

No. 4
# TlPbAu2 (PBEsol, optimized geometry)
data_TlPbAu2
_symmetry_space_group_name_H-M 'P 1'
_symmetry_Int_Tables_number 1
_cell_length_a 3.520
_cell_length_b 3.520
_cell_length_c 7.223
_cell_angle_alpha 90.00
_cell_angle_beta 90.00
_cell_angle_gamma 92.61
loop_
_symmetry_equiv_pos_as_xyz
'x,y,z'
loop_
_atom_site_label
_atom_site_type_symbol
_atom_site_fract_x
_atom_site_fract_y
_atom_site_fract_z
_atom_site_occupancy
Pb1 Pb 0.500 0.500 0.000 1
Tl1 Tl 0.500 0.500 0.500 1
Au1 Au 0.000 0.000 0.747 1
Au2 Au 0.000 0.000 0.253 1
# Calculated density   15.0 g/cm3
# Calculated volume   89 Å³/cell
# E_tot   -14.27 eV/cell

=====

No. 5
# TlPbAu2 (PBEsol, optimized geometry)
data_TlPbAu2
_symmetry_space_group_name_H-M 'P 1'
_symmetry_Int_Tables_number 1
_cell_length_a 4.045
_cell_length_b 4.045
_cell_length_c 7.249
_cell_angle_alpha 73.80
_cell_angle_beta 73.80
_cell_angle_gamma 60.00
loop_
_symmetry_equiv_pos_as_xyz
'x,y,z'
loop_
_atom_site_label
_atom_site_type_symbol
_atom_site_fract_x
_atom_site_fract_y
_atom_site_fract_z
_atom_site_occupancy
Pb1 Pb 0.500 0.500 0.500 1
Tl1 Tl 0.000 0.000 0.000 1
Au1 Au 0.251 0.251 0.247 1
Au2 Au 0.749 0.749 0.753 1
# Calculated density   13.8 g/cm3
# Calculated volume   97 Å³/cell
# E_tot   -14.31 eV/cell

=====

No. 6
# TlPbAu2 (PBEsol, optimized geometry)
data_TlPbAu2
_symmetry_space_group_name_H-M 'P 1'
_symmetry_Int_Tables_number 1
_cell_length_a 3.961
_cell_length_b 3.961
_cell_length_c 7.641
_cell_angle_alpha 74.98
_cell_angle_beta 74.98
_cell_angle_gamma 60.00
loop_
_symmetry_equiv_pos_as_xyz
'x,y,z'
loop_
_atom_site_label
_atom_site_type_symbol
_atom_site_fract_x
_atom_site_fract_y
_atom_site_fract_z
_atom_site_occupancy
Pb1 Pb 0.485 0.485 0.545 1
Tl1 Tl 0.265 0.265 0.206 1
Au1 Au 0.008 0.008 0.976 1
Au2 Au 0.742 0.742 0.773 1
# Calculated density   13.5 g/cm3
# Calculated volume   99 Å³/cell
# E_tot   -14.29 eV/cell